Entry from Alexandria via LeMat-Bulk: crystalline Li7Cd3Ga at its relaxed geometry (PBE).

Output
**Mass density**: 3.62 g/cm³
**Size of the total moment**: 0.000 μB per formula unit
**Formation enthalpy at 0 K**: -0.169 eV/atom
**Space group**: Cmcm

```
data_Li7Cd3Ga
_chemical_formula_sum 'Li14 Cd6 Ga2'
_cell_length_a 2.935
_cell_length_b 11.899
_cell_length_c 12.075
_cell_angle_alpha 90.00
_cell_angle_beta 90.00
_cell_angle_gamma 97.08
_space_group_name_H-M_alt 'P 1'
_space_group_IT_number 1
loop_
_space_group_symop_operation_xyz
'x,y,z'
loop_
_atom_site_label
_atom_site_fract_x
_atom_site_fract_y
_atom_site_fract_z
Li1 0.329 0.659 0.750
Li2 0.671 0.341 0.250
Li3 0.553 0.107 0.371
Li4 0.447 0.893 0.629
Li5 0.447 0.893 0.871
Li6 0.553 0.107 0.129
Li7 0.423 0.847 0.404
Li8 0.577 0.153 0.596
Li9 0.269 0.539 0.386
Li10 0.731 0.461 0.614
Li11 0.731 0.461 0.886
Li12 0.269 0.539 0.114
Li13 0.423 0.847 0.096
Li14 0.577 0.153 0.904
Cd1 0.155 0.310 0.459
Cd2 0.845 0.690 0.541
Cd3 0.149 0.297 0.750
Cd4 0.851 0.703 0.250
Cd5 0.155 0.310 0.041
Cd6 0.845 0.690 0.959
Ga1 0.978 0.956 0.250
Ga2 0.022 0.044 0.750
```



Entry from Alexandria via LeMat-Bulk: crystalline Li5Cd12Ga2 at its relaxed geometry (PBE).

Output
**Mass density**: 6.35 g/cm³
**Size of the total moment**: 0.000 μB per formula unit
**Formation enthalpy at 0 K**: -0.116 eV/atom
**Space group**: C2/m

```
data_Li5Cd12Ga2
_chemical_formula_sum 'Li5 Cd12 Ga2'
_cell_length_a 7.656
_cell_length_b 8.130
_cell_length_c 7.253
_cell_angle_alpha 88.68
_cell_angle_beta 90.00
_cell_angle_gamma 118.09
_space_group_name_H-M_alt 'P 1'
_space_group_IT_number 1
loop_
_space_group_symop_operation_xyz
'x,y,z'
loop_
_atom_site_label
_atom_site_fract_x
_atom_site_fract_y
_atom_site_fract_z
Li1 0.241 0.482 0.576
Li2 0.320 0.640 0.019
Li3 0.000 0.000 0.500
Li4 0.680 0.360 0.981
Li5 0.759 0.518 0.424
Cd1 0.886 0.773 0.095
Cd2 0.017 0.651 0.756
Cd3 0.634 0.651 0.756
Cd4 0.173 0.755 0.353
Cd5 0.583 0.755 0.353
Cd6 0.442 0.884 0.685
Cd7 0.558 0.116 0.315
Cd8 0.827 0.245 0.647
Cd9 0.417 0.245 0.647
Cd10 0.983 0.349 0.244
Cd11 0.366 0.349 0.244
Cd12 0.114 0.227 0.905
Ga1 0.699 0.000 0.000
Ga2 0.301 0.000 0.000
```



Entry from Alexandria via LeMat-Bulk: crystalline Li3Cd6Ga2 at its relaxed geometry (PBE).

Output
**Mass density**: 6.27 g/cm³
**Size of the total moment**: 0.000 μB per formula unit
**E above lowest polymorph**: 0 meV per atom
**Formation enthalpy at 0 K**: -0.122 eV/atom
**Space group**: P-1

```
data_Li3Cd6Ga2
_chemical_formula_sum 'Li3 Cd6 Ga2'
_cell_length_a 5.903
_cell_length_b 8.858
_cell_length_c 14.262
_cell_angle_alpha 29.25
_cell_angle_beta 90.21
_cell_angle_gamma 113.05
_space_group_name_H-M_alt 'P 1'
_space_group_IT_number 1
loop_
_space_group_symop_operation_xyz
'x,y,z'
loop_
_atom_site_label
_atom_site_fract_x
_atom_site_fract_y
_atom_site_fract_z
Li1 0.000 0.000 0.000
Li2 0.940 0.052 0.212
Li3 0.060 0.948 0.788
Cd1 0.173 0.761 0.694
Cd2 0.639 0.123 0.661
Cd3 0.827 0.239 0.306
Cd4 0.361 0.877 0.339
Cd5 0.645 0.365 0.730
Cd6 0.355 0.635 0.270
Ga1 0.435 0.439 0.174
Ga2 0.565 0.561 0.826
```